Entry 1:
# CaNb2BiPt | Alexandria via LeMat-Bulk | PBEsol | relaxed
data_CaNb2BiPt
_cell_length_a 4.917
_cell_length_b 4.917
_cell_length_c 5.320
_cell_angle_alpha 90.00
_cell_angle_beta 90.00
_cell_angle_gamma 90.00
_space_group_name_H-M_alt 'P 4/m m m'
_space_group_IT_number 123
_space_group_name_Hall '-P 4 2'
loop_
_atom_site_label
_atom_site_type_symbol
_atom_site_fract_x
_atom_site_fract_y
_atom_site_fract_z
Ca1 Ca 0.000 0.000 0.000
Nb1 Nb 0.000 0.500 0.500
Bi1 Bi 0.500 0.500 0.000
Pt1 Pt 0.000 0.000 0.500
# Crystal system: tetragonal
# Total magnetic moment in μB/atom: 0.260
# Mass density in g/cm³: 8.1
# DFT formation energy in eV per atom: 0.477
# Fermi-level density of states in states/eV/cell: 5.93


Entry 2:
# CaNiBi2 | Alexandria via LeMat-Bulk | PBEsol | relaxed
data_CaNiBi2
_cell_length_a 5.205
_cell_length_b 5.205
_cell_length_c 17.093
_cell_angle_alpha 90.00
_cell_angle_beta 90.00
_cell_angle_gamma 90.00
_space_group_name_H-M_alt 'I -4 2 d'
_space_group_IT_number 122
_space_group_name_Hall 'I -4 2bw'
loop_
_atom_site_label
_atom_site_type_symbol
_atom_site_fract_x
_atom_site_fract_y
_atom_site_fract_z
Ca1 Ca 0.000 0.000 0.000
Ni1 Ni 0.000 0.000 0.500
Bi1 Bi 0.154 0.250 0.625
# Crystal system: tetragonal
# Total magnetic moment in μB/atom: 0.000
# Mass density in g/cm³: 7.4
# DFT formation energy in eV per atom: -0.023
# Fermi-level density of states in states/eV/cell: 9.60


Entry 3:
# CaNiBi2 | Alexandria via LeMat-Bulk | PBEsol | relaxed
data_CaNiBi2
_cell_length_a 7.206
_cell_length_b 7.206
_cell_length_c 7.206
_cell_angle_alpha 90.00
_cell_angle_beta 90.00
_cell_angle_gamma 90.00
_space_group_name_H-M_alt 'F m -3 m'
_space_group_IT_number 225
_space_group_name_Hall '-F 4 2 3'
loop_
_atom_site_label
_atom_site_type_symbol
_atom_site_fract_x
_atom_site_fract_y
_atom_site_fract_z
Ca1 Ca 0.000 0.000 0.000
Ni1 Ni 0.000 0.000 0.500
Bi1 Bi 0.250 0.250 0.250
# Crystal system: cubic
# Total magnetic moment in μB/atom: 0.000
# Mass density in g/cm³: 9.2
# DFT formation energy in eV per atom: -0.048
# Fermi-level density of states in states/eV/cell: 11.10


Entry 4:
# CaBi2O5 | Alexandria via LeMat-Bulk | PBEsol | relaxed
data_CaBi2O5
_cell_length_a 5.572
_cell_length_b 16.288
_cell_length_c 10.635
_cell_angle_alpha 90.00
_cell_angle_beta 90.00
_cell_angle_gamma 90.00
_space_group_name_H-M_alt 'P b c a'
_space_group_IT_number 61
_space_group_name_Hall '-P 2ac 2ab'
loop_
_atom_site_label
_atom_site_type_symbol
_atom_site_fract_x
_atom_site_fract_y
_atom_site_fract_z
Ca1 Ca 0.038 0.081 0.135
Bi1 Bi 0.021 0.749 0.145
Bi2 Bi 0.044 0.569 0.878
O1 O 0.129 0.175 0.699
O2 O 0.205 0.010 0.751
O3 O 0.221 0.031 0.490
O4 O 0.233 0.672 0.275
O5 O 0.249 0.150 0.983
# Crystal system: orthorhombic
# Total magnetic moment in μB/atom: 0.000
# Offset from the most stable computed form in meV per atom: 0
# Mass density in g/cm³: 7.4
# Uncorrected formation energy in eV per atom: -1.57
# Fermi-level density of states in states/eV/cell: 11.47


Entry 5:
# CaBi2O4 | Alexandria via LeMat-Bulk | PBEsol | relaxed
data_CaBi2O4
_cell_length_a 6.9875
_cell_length_b 6.9875
_cell_length_c 17.1051
_cell_angle_alpha 90.00
_cell_angle_beta 90.00
_cell_angle_gamma 120.00
_space_group_name_H-M_alt 'P 3 m 1'
_space_group_IT_number 156
_space_group_name_Hall 'P 3 -2"'
loop_
_atom_site_label
_atom_site_type_symbol
_atom_site_fract_x
_atom_site_fract_y
_atom_site_fract_z
Ca1 Ca 0.0000 0.0000 0.0000
Ca2 Ca 0.0000 0.0000 0.2481
Ca3 Ca 0.3333 0.6667 0.3302
Ca4 Ca 0.3333 0.6667 0.5805
Ca5 Ca 0.3333 0.6667 0.9583
Ca6 Ca 0.6667 0.3333 0.6645
Bi1 Bi 0.0000 0.0000 0.6217
Bi2 Bi 0.0037 0.5018 0.1200
Bi3 Bi 0.1667 0.3335 0.7898
Bi4 Bi 0.3344 0.1672 0.4552
Bi5 Bi 0.6667 0.3333 0.2865
Bi6 Bi 0.6667 0.3333 0.9088
O1 O 0.0000 0.0000 0.3802
O2 O 0.0000 0.0000 0.8659
O3 O 0.0259 0.5129 0.8727
O4 O 0.1547 0.3094 0.5397
O5 O 0.1794 0.3588 0.0446
O6 O 0.3161 0.1581 0.7126
O7 O 0.3333 0.6667 0.1939
O8 O 0.3333 0.6667 0.7131
O9 O 0.3554 0.1777 0.2064
O10 O 0.5072 0.0144 0.3781
O11 O 0.6667 0.3333 0.0373
O12 O 0.6667 0.3333 0.5318
# Crystal system: trigonal
# Total magnetic moment in μB/atom: 0.000
# Mass density in g/cm³: 7.2
# Uncorrected formation energy in eV per atom: -1.66


Entry 6:
# Ca3Bi2O7 | Alexandria via LeMat-Bulk | PBEsol | relaxed
data_Ca3Bi2O7
_cell_length_a 20.123
_cell_length_b 5.802
_cell_length_c 6.044
_cell_angle_alpha 90.00
_cell_angle_beta 90.00
_cell_angle_gamma 90.00
_space_group_name_H-M_alt 'C m c 21'
_space_group_IT_number 36
_space_group_name_Hall 'C 2c -2'
loop_
_atom_site_label
_atom_site_type_symbol
_atom_site_fract_x
_atom_site_fract_y
_atom_site_fract_z
Ca1 Ca 0.000 0.227 0.000
Ca2 Ca 0.197 0.240 0.876
Bi1 Bi 0.104 0.256 0.444
O1 O 0.000 0.394 0.368
O2 O 0.076 0.059 0.752
O3 O 0.137 0.445 0.147
O4 O 0.205 0.128 0.502
# Crystal system: orthorhombic
# Total magnetic moment in μB/atom: 0.000
# Mass density in g/cm³: 6.1
# Uncorrected formation energy in eV per atom: -2.05
# Fermi-level density of states in states/eV/cell: 11.26


Entry 7:
# CaBi2O4 | Alexandria via LeMat-Bulk | PBEsol | relaxed
data_CaBi2O4
_cell_length_a 10.083
_cell_length_b 3.415
_cell_length_c 11.976
_cell_angle_alpha 90.00
_cell_angle_beta 90.00
_cell_angle_gamma 90.00
_space_group_name_H-M_alt 'P n m a'
_space_group_IT_number 62
_space_group_name_Hall '-P 2ac 2n'
loop_
_atom_site_label
_atom_site_type_symbol
_atom_site_fract_x
_atom_site_fract_y
_atom_site_fract_z
Ca1 Ca 0.241 0.250 0.142
Bi1 Bi 0.073 0.750 0.389
Bi2 Bi 0.100 0.750 0.890
O1 O 0.024 0.750 0.706
O2 O 0.053 0.750 0.091
O3 O 0.188 0.250 0.509
O4 O 0.249 0.750 0.285
# Crystal system: orthorhombic
# Total magnetic moment in μB/atom: 0.000
# Mass density in g/cm³: 8.4
# Uncorrected formation energy in eV per atom: -1.70
# Fermi-level density of states in states/eV/cell: 0.00


Entry 8:
# CaBi2O4 | Alexandria via LeMat-Bulk | PBEsol | relaxed
data_CaBi2O4
_cell_length_a 12.166
_cell_length_b 6.815
_cell_length_c 17.127
_cell_angle_alpha 90.00
_cell_angle_beta 90.96
_cell_angle_gamma 90.00
_space_group_name_H-M_alt 'C 1 m 1'
_space_group_IT_number 8
_space_group_name_Hall 'C -2y'
loop_
_atom_site_label
_atom_site_type_symbol
_atom_site_fract_x
_atom_site_fract_y
_atom_site_fract_z
Ca1 Ca 0.000 0.000 0.000
Ca2 Ca 0.005 0.000 0.372
Ca3 Ca 0.162 0.500 0.702
Ca4 Ca 0.175 0.000 0.209
Ca5 Ca 0.333 0.500 0.535
Ca6 Ca 0.494 0.000 0.866
Bi1 Bi 0.083 0.254 0.536
Bi2 Bi 0.179 0.500 0.324
Bi3 Bi 0.189 0.500 0.074
Bi4 Bi 0.245 0.247 0.868
Bi5 Bi 0.330 0.000 0.658
Bi6 Bi 0.333 0.000 0.416
Bi7 Bi 0.341 0.000 0.034
Bi8 Bi 0.431 0.247 0.205
Bi9 Bi 0.492 0.500 0.742
O1 O 0.005 0.000 0.135
O2 O 0.005 0.000 0.607
O3 O 0.007 0.500 0.622
O4 O 0.025 0.500 0.115
O5 O 0.083 0.238 0.289
O6 O 0.083 0.254 0.787
O7 O 0.151 0.000 0.461
O8 O 0.162 0.500 0.931
O9 O 0.172 0.500 0.452
O10 O 0.180 0.000 0.966
O11 O 0.242 0.275 0.616
O12 O 0.261 0.240 0.133
O13 O 0.313 0.500 0.795
O14 O 0.336 0.000 0.288
O15 O 0.337 0.000 0.787
O16 O 0.369 0.500 0.276
O17 O 0.405 0.232 0.951
O18 O 0.424 0.268 0.456
# Crystal system: monoclinic
# Total magnetic moment in μB/atom: 0.000
# Mass density in g/cm³: 7.3
# Uncorrected formation energy in eV per atom: -1.69
# Fermi-level density of states in states/eV/cell: 0.00


Entry 9:
# CaBi2O4 | Alexandria via LeMat-Bulk | PBEsol | relaxed
data_CaBi2O4
_cell_length_a 6.857
_cell_length_b 7.025
_cell_length_c 9.774
_cell_angle_alpha 90.00
_cell_angle_beta 90.00
_cell_angle_gamma 90.00
_space_group_name_H-M_alt 'I m m a'
_space_group_IT_number 74
_space_group_name_Hall '-I 2b 2'
loop_
_atom_site_label
_atom_site_type_symbol
_atom_site_fract_x
_atom_site_fract_y
_atom_site_fract_z
Ca1 Ca 0.000 0.000 0.000
Bi1 Bi 0.000 0.250 0.375
Bi2 Bi 0.250 0.250 0.750
O1 O 0.000 0.016 0.759
O2 O 0.234 0.250 0.992
# Crystal system: orthorhombic
# Total magnetic moment in μB/atom: 0.000
# Mass density in g/cm³: 7.4
# Uncorrected formation energy in eV per atom: -1.70
# Fermi-level density of states in states/eV/cell: 0.00


Entry 10:
# CaBi2O4 | Alexandria via LeMat-Bulk | PBEsol | relaxed
data_CaBi2O4
_cell_length_a 6.9649
_cell_length_b 6.9649
_cell_length_c 17.1042
_cell_angle_alpha 90.00
_cell_angle_beta 90.00
_cell_angle_gamma 120.00
_space_group_name_H-M_alt 'R 3 m'
_space_group_IT_number 160
_space_group_name_Hall 'R 3 -2"'
loop_
_atom_site_label
_atom_site_type_symbol
_atom_site_fract_x
_atom_site_fract_y
_atom_site_fract_z
Ca1 Ca 0.0000 0.0000 0.0000
Ca2 Ca 0.0000 0.0000 0.3755
Bi1 Bi 0.0000 0.0000 0.6209
Bi2 Bi 0.1685 0.3371 0.8308
O1 O 0.0000 0.0000 0.2398
O2 O 0.0000 0.0000 0.7512
O3 O 0.0260 0.5130 0.7542
O4 O 0.1778 0.3555 0.5819
# Crystal system: trigonal
# Total magnetic moment in μB/atom: 0.000
# Mass density in g/cm³: 7.2
# Uncorrected formation energy in eV per atom: -1.68
# Fermi-level density of states in states/eV/cell: 0.00


Entry 11:
# CaBi2O4 | Alexandria via LeMat-Bulk | PBEsol | relaxed
data_CaBi2O4
_cell_length_a 16.663
_cell_length_b 11.374
_cell_length_c 12.354
_cell_angle_alpha 90.00
_cell_angle_beta 124.71
_cell_angle_gamma 90.00
_space_group_name_H-M_alt 'C 1 2/c 1'
_space_group_IT_number 15
_space_group_name_Hall '-C 2yc'
loop_
_atom_site_label
_atom_site_type_symbol
_atom_site_fract_x
_atom_site_fract_y
_atom_site_fract_z
Ca1 Ca 0.047 0.100 0.418
Ca2 Ca 0.209 0.211 0.340
Bi1 Bi 0.061 0.415 0.432
Bi2 Bi 0.093 0.267 0.999
Bi3 Bi 0.143 0.107 0.764
Bi4 Bi 0.187 0.470 0.778
O1 O 0.007 0.110 0.930
O2 O 0.051 0.380 0.596
O3 O 0.071 0.294 0.149
O4 O 0.101 0.061 0.284
O5 O 0.145 0.272 0.453
O6 O 0.187 0.088 0.634
O7 O 0.198 0.497 0.116
O8 O 0.232 0.187 0.169
# Crystal system: monoclinic
# Total magnetic moment in μB/atom: 0.000
# Mass density in g/cm³: 7.2
# Uncorrected formation energy in eV per atom: -1.75
# Fermi-level density of states in states/eV/cell: 0.00


Entry 12:
# CaBi3O7 | Alexandria via LeMat-Bulk | PBEsol | relaxed
data_CaBi3O7
_cell_length_a 10.907
_cell_length_b 10.931
_cell_length_c 5.631
_cell_angle_alpha 90.00
_cell_angle_beta 90.00
_cell_angle_gamma 90.00
_space_group_name_H-M_alt 'P n m a'
_space_group_IT_number 62
_space_group_name_Hall '-P 2ac 2n'
loop_
_atom_site_label
_atom_site_type_symbol
_atom_site_fract_x
_atom_site_fract_y
_atom_site_fract_z
Ca1 Ca 0.153 0.250 0.201
Bi1 Bi 0.130 0.017 0.666
Bi2 Bi 0.138 0.750 0.206
O1 O 0.043 0.084 0.337
O2 O 0.049 0.250 0.811
O3 O 0.210 0.623 0.961
O4 O 0.218 0.626 0.454
# Crystal system: orthorhombic
# Total magnetic moment in μB/atom: 0.000
# Mass density in g/cm³: 7.7
# Uncorrected formation energy in eV per atom: -1.34
# Fermi-level density of states in states/eV/cell: 15.49


Question: Which value of total magnetic moment does entry 8 give?
Answer: 0.000 μB/atom